Compound: LiMg5In2Pd2
Source: Alexandria
Functional: PBE
Structure: optimized geometry

## Properties
* total magnetization: 0.00 Bohr magnetons per cell
* V: 20.164 Å³/atom
* formation energy from the elements: -0.33 eV/atom
* E: -2.909 eV/atom
* DOS at the Fermi energy: 3.72 states/eV/f.u.
* crystal system: tetragonal

Lattice parameters (Å, degrees): 9.724 9.724 4.265 90.00 90.00 90.00
Space group P4/mbm (No. 127)
Symmetry-distinct sites (fractional):
1 Li 0.000 0.000 0.000 x2
2 Mg 0.000 0.500 0.500 x2
3 Mg 0.078 0.206 0.500 x8
4 In 0.172 0.672 0.000 x4
5 Pd 0.123 0.377 0.000 x4

Compound: BaZn2PdPb
Source: Alexandria
Functional: PBE
Structure: optimized geometry

## Properties
* total magnetization: 0.00 Bohr magnetons per cell
* V: 27.013 Å³/atom
* formation energy from the elements: -0.27 eV/atom
* E: -2.940 eV/atom
* DOS at the Fermi energy: 3.38 states/eV/f.u.
* crystal system: tetragonal

Lattice parameters (Å, degrees): 5.017 5.017 5.365 90.00 90.00 90.00
Space group P4/mmm (No. 123)
Symmetry-distinct sites (fractional):
1 Ba 0.000 0.000 0.000 x1
2 Zn 0.000 0.500 0.500 x2
3 Pd 0.500 0.500 0.500 x1
4 Pb 0.500 0.500 0.000 x1

Compound: ZnInAu2
Source: Alexandria
Functional: PBE
Structure: optimized geometry

## Properties
* total magnetization: 0.00 Bohr magnetons per cell
* V: 20.496 Å³/atom
* formation energy from the elements: -0.18 eV/atom
* E: -2.824 eV/atom
* DOS at the Fermi energy: 1.69 states/eV/f.u.
* crystal system: orthorhombic

Lattice parameters (Å, degrees): 4.542 5.637 6.404 90.00 90.00 90.00
Space group Pmmn (No. 59, origin choice 2)
Symmetry-distinct sites (fractional):
1 Zn 0.250 0.250 0.142 x2
2 In 0.250 0.750 0.376 x2
3 Au 0.250 0.503 0.779 x4

Compound: TbPm2DySb4
Source: Alexandria
Functional: PBE
Structure: optimized geometry

## Properties
* formation energy from raw total energies: -112.2 kJ/mol of atoms
* total magnetization: 0.00 Bohr magnetons per cell
* V: 31.023 Å³/atom
* E: -5.565 eV/atom
* DOS at the Fermi energy: 1.08 states/eV/f.u.
* crystal system: monoclinic

Lattice parameters (Å, degrees): 7.694 4.446 7.697 90.00 109.47 90.00
Space group P2/m (No. 10)
Symmetry-distinct sites (fractional):
1 Tb 0.000 0.000 0.000 x1
2 Pm 0.500 0.000 0.500 x1
3 Pm 0.500 0.500 0.000 x1
4 Dy 0.000 0.500 0.500 x1
5 Sb 0.243 0.000 0.747 x2
6 Sb 0.244 0.500 0.249 x2